## K2BaPb (PBE)

Data for K2BaPb after structural relaxation.

Summary:
Energy of formation, eV per formula unit: -0.466

Geometry as CIF:
```
data_K2BaPb
_cell_length_a 12.888
_cell_length_b 4.503
_cell_length_c 8.495
_cell_angle_alpha 90.00
_cell_angle_beta 114.60
_cell_angle_gamma 90.00
_symmetry_space_group_name_H-M 'C 1 m 1'
_symmetry_Int_Tables_number 8
_symmetry_space_group_name_Hall 'C -2y'
loop_
_atom_site_label
_atom_site_type_symbol
_atom_site_fract_x
_atom_site_fract_y
_atom_site_fract_z
K1 K 0.000 0.000 0.000
K2 K 0.191 0.000 0.714
Ba1 Ba 0.324 0.500 0.350
Pb1 Pb 0.041 0.500 0.353
```



## K2BaPb (PBE)

Data for K2BaPb after structural relaxation.

Summary:
Energy of formation, eV per formula unit: -0.278

Geometry as CIF:
```
data_K2BaPb
_cell_length_a 4.440
_cell_length_b 6.939
_cell_length_c 6.255
_cell_angle_alpha 90.00
_cell_angle_beta 93.41
_cell_angle_gamma 90.00
_symmetry_space_group_name_H-M 'P 1 2/m 1'
_symmetry_Int_Tables_number 10
_symmetry_space_group_name_Hall '-P 2y'
loop_
_atom_site_label
_atom_site_type_symbol
_atom_site_fract_x
_atom_site_fract_y
_atom_site_fract_z
K1 K 0.220 0.000 0.279
Ba1 Ba 0.500 0.500 0.000
Pb1 Pb 0.000 0.500 0.500
```